[1]
AlReMo2 | PBE | optimized geometry

Cell: 4.414 4.414 4.414 Å, 60.00 60.00 60.00°
Sites, in units of the cell vectors:
Al1 0.000 0.000 0.000
Re1 0.250 0.250 0.250
Mo1 0.500 0.500 0.500
Mo2 0.750 0.750 0.750

Calculated values
Theoretical density: 11.058 Mg/m³
Symmetry: No. 216

=====

[2]
Dy6Hf2Fe | PBE | optimized geometry

Cell: 7.022 7.022 7.022 Å, 60.00 60.00 60.00°
Sites, in units of the cell vectors:
Dy1 0.241 0.241 0.759
Dy2 0.241 0.759 0.241
Dy3 0.241 0.759 0.759
Dy4 0.759 0.241 0.241
Dy5 0.759 0.241 0.759
Dy6 0.759 0.759 0.241
Hf1 0.250 0.250 0.250
Hf2 0.750 0.750 0.750
Fe1 0.500 0.500 0.500

Calculated values
Theoretical density: 9.414 Mg/m³
Formation enthalpy at 0 K: 0.252 eV per atom
Symmetry: No. 225

=====

[3]
NaLuGePt | PBE | optimized geometry

Cell: 4.690 4.690 4.690 Å, 60.00 60.00 60.00°
Sites, in units of the cell vectors:
Na1 0.000 0.000 0.000
Lu1 0.750 0.750 0.750
Ge1 0.250 0.250 0.250
Pt1 0.500 0.500 0.500

Calculated values
Theoretical density: 10.597 Mg/m³
Offset from the most stable computed form: 0 meV per atom
Symmetry: No. 216

=====

[4]
Cd2IrCl8 | PBE | optimized geometry

Cell: 9.618 9.618 9.618 Å, 144.51 144.51 51.07°
Sites, in units of the cell vectors:
Cd1 0.247 0.247 0.000
Cd2 0.753 0.753 0.000
Ir1 0.500 0.500 0.000
Cl1 0.080 0.087 0.506
Cl2 0.228 0.741 0.040
Cl3 0.259 0.299 0.487
Cl4 0.427 0.920 0.007
Cl5 0.580 0.573 0.494
Cl6 0.701 0.188 0.960
Cl7 0.812 0.772 0.513
Cl8 0.913 0.420 0.993

Calculated values
Theoretical density: 3.899 Mg/m³
Symmetry: No. 82

=====

[5]
PmNbIr | PBE | optimized geometry

Cell: 4.650 4.650 4.650 Å, 60.00 60.00 60.00°
Sites, in units of the cell vectors:
Pm1 0.000 0.000 0.000
Nb1 0.500 0.500 0.500
Ir1 0.750 0.750 0.750

Calculated values
Theoretical density: 10.043 Mg/m³
Formation enthalpy at 0 K: 0.017 eV per atom
Offset from the most stable computed form: 0 meV per atom
Symmetry: No. 216

=====

[6]
FeReSiAg | PBE | optimized geometry

Cell: 4.293 4.293 4.293 Å, 60.00 60.00 60.00°
Sites, in units of the cell vectors:
Fe1 0.000 0.000 0.000
Re1 0.500 0.500 0.500
Si1 0.750 0.750 0.750
Ag1 0.250 0.250 0.250

Calculated values
Theoretical density: 11.217 Mg/m³
Offset from the most stable computed form: 0 meV per atom
Symmetry: No. 216

=====

Final energy (eV per cell)
-37.99; -53.56; -18.89; -31.90; -23.64; -27.21